Entry 1:
The following is a PBE-GGA calculation of an optimized crystal structure of Tm3Cu2Au4, from Alexandria via LeMat-Bulk.

a b c (Å): 5.170 8.671 8.671
angles (deg): 75.60 78.23 78.23
Fractional positions:
1 Tm 0.365 0.309 0.034
2 Au 0.456 0.927 0.188
3 Au 0.717 0.808 0.621
4 Cu 0.698 0.459 0.731
5 Tm 0.635 0.691 0.966
6 Cu 0.198 0.731 0.459
7 Au 0.544 0.073 0.812
8 Tm 0.865 0.034 0.309
9 Cu 0.302 0.541 0.269
10 Au 0.044 0.812 0.073
11 Cu 0.802 0.269 0.541
12 Tm 0.135 0.966 0.691
13 Tm 0.250 0.381 0.619
14 Au 0.783 0.379 0.192
15 Tm 0.750 0.619 0.381
16 Au 0.217 0.621 0.808
17 Au 0.283 0.192 0.379
18 Au 0.956 0.188 0.927

For the energy relative to the elements, the calculation gives -0.58 eV/atom. As for the density of states at the Fermi level: 0.588 states/eV/atom. The total energy is -79.8 eV per cell.


Entry 2:
The following is a PBE-GGA calculation of an optimized crystal structure of Tm3CuAu3, from Alexandria via LeMat-Bulk.

a b c (Å): 4.510 3.594 9.886
angles (deg): 100.47 103.18 90.00
Fractional positions:
1 Au 0.562 0.562 0.124
2 Au 0.854 0.354 0.707
3 Tm 0.314 0.814 0.629
4 Cu 0.430 0.430 0.859
5 Tm 0.688 0.188 0.376
6 Tm 0.997 0.997 0.993
7 Au 0.156 0.656 0.312

For the energy relative to the elements, the calculation gives -0.72 eV/atom. As for the density of states at the Fermi level: 0.581 states/eV/atom. The total energy is -32.4 eV per cell.


Entry 3:
The following is a PBE-GGA calculation of an optimized crystal structure of Tm4Cu3Au, from Alexandria via LeMat-Bulk.

a b c (Å): 3.463 3.463 13.745
angles (deg): 90.00 90.00 90.00
Fractional positions:
1 Tm 0.000 0.000 0.377
2 Cu 0.500 0.500 0.500
3 Tm 0.000 0.000 0.623
4 Cu 0.500 0.500 0.256
5 Tm 0.000 0.000 0.132
6 Cu 0.500 0.500 0.744
7 Tm 0.000 0.000 0.868
8 Au 0.500 0.500 0.000

For the energy relative to the elements, the calculation gives -0.44 eV/atom. The calculation puts the offset from the most stable computed form at 0.000 eV/atom. As for the density of states at the Fermi level: 0.631 states/eV/atom. The total energy is -36.9 eV per cell.


Entry 4:
The following is a PBE-GGA calculation of an optimized crystal structure of TmCuAu, from Alexandria via LeMat-Bulk.

a b c (Å): 4.594 7.781 6.675
angles (deg): 106.94 90.00 90.00
Fractional positions:
1 Tm 0.250 0.450 0.301
2 Cu 0.750 0.881 0.023
3 Cu 0.750 0.381 0.023
4 Tm 0.750 0.050 0.699
5 Au 0.750 0.205 0.320
6 Tm 0.250 0.950 0.301
7 Au 0.750 0.705 0.320
8 Cu 0.250 0.619 0.977
9 Tm 0.750 0.550 0.699
10 Au 0.250 0.295 0.680
11 Cu 0.250 0.119 0.977
12 Au 0.250 0.795 0.680

For the energy relative to the elements, the calculation gives -0.49 eV/atom. The calculation puts the offset from the most stable computed form at 0.081 eV/atom. As for the density of states at the Fermi level: 0.379 states/eV/atom. The total energy is -53.3 eV per cell.


Entry 5:
The following is a PBE-GGA calculation of an optimized crystal structure of TmCuAu, from Alexandria via LeMat-Bulk.

a b c (Å): 4.026 4.244 6.952
angles (deg): 90.00 90.03 90.00
Fractional positions:
1 Tm 0.250 0.250 0.824
2 Tm 0.750 0.750 0.176
3 Cu 0.750 0.250 0.504
4 Cu 0.250 0.750 0.496
5 Au 0.250 0.250 0.249
6 Au 0.750 0.750 0.751

For the energy relative to the elements, the calculation gives -0.55 eV/atom. The calculation puts the offset from the most stable computed form at 0.018 eV/atom. As for the density of states at the Fermi level: 0.722 states/eV/atom. The total energy is -27.0 eV per cell.


Entry 6:
The following is a PBE-GGA calculation of an optimized crystal structure of YTmCuAu, from Alexandria via LeMat-Bulk.

a b c (Å): 4.988 4.988 4.988
angles (deg): 60.00 60.00 60.00
Fractional positions:
1 Cu 0.000 0.000 0.000
2 Y 0.750 0.750 0.750
3 Tm 0.250 0.250 0.250
4 Au 0.500 0.500 0.500

For the energy relative to the elements, the calculation gives -0.56 eV/atom. As for the density of states at the Fermi level: 0.677 states/eV/atom. The total energy is -20.5 eV per cell.


Entry 7:
The following is a PBE-GGA calculation of an optimized crystal structure of TmZnCu2Au4, from Alexandria via LeMat-Bulk.

a b c (Å): 4.620 4.620 7.922
angles (deg): 73.05 73.05 60.00
Fractional positions:
1 Au 0.868 0.868 0.396
2 Tm 0.000 0.000 0.000
3 Au 0.615 0.615 0.154
4 Au 0.132 0.132 0.604
5 Au 0.385 0.385 0.846
6 Zn 0.500 0.500 0.500
7 Cu 0.744 0.744 0.768
8 Cu 0.256 0.256 0.232

For the energy relative to the elements, the calculation gives -0.33 eV/atom. As for the density of states at the Fermi level: 0.394 states/eV/atom. The total energy is -29.7 eV per cell.


Entry 8:
The following is a PBE-GGA calculation of an optimized crystal structure of Tm2Zn3Cu12Au, from Alexandria via LeMat-Bulk.

a b c (Å): 9.461 9.461 9.461
angles (deg): 38.67 38.67 38.67
Fractional positions:
1 Cu 0.126 0.555 0.126
2 Cu 0.418 0.418 0.799
3 Zn 0.000 0.000 0.500
4 Au 0.000 0.000 0.000
5 Cu 0.874 0.874 0.445
6 Cu 0.445 0.874 0.874
7 Tm 0.641 0.641 0.641
8 Zn 0.000 0.500 0.000
9 Zn 0.500 0.000 0.000
10 Cu 0.555 0.126 0.126
11 Cu 0.582 0.582 0.201
12 Cu 0.799 0.418 0.418
13 Cu 0.418 0.799 0.418
14 Cu 0.874 0.445 0.874
15 Cu 0.201 0.582 0.582
16 Cu 0.582 0.201 0.582
17 Tm 0.359 0.359 0.359
18 Cu 0.126 0.126 0.555

For the energy relative to the elements, the calculation gives 0.09 eV/atom. As for the density of states at the Fermi level: 0.390 states/eV/atom. The total energy is -63.6 eV per cell.


Entry 9:
The following is a PBE-GGA calculation of an optimized crystal structure of TmZn2CuAu4, from Alexandria via LeMat-Bulk.

a b c (Å): 4.630 4.630 8.024
angles (deg): 73.23 73.23 60.00
Fractional positions:
1 Au 0.613 0.613 0.160
2 Au 0.131 0.131 0.608
3 Cu 0.500 0.500 0.500
4 Zn 0.252 0.252 0.244
5 Tm 0.000 0.000 0.000
6 Au 0.869 0.869 0.392
7 Zn 0.748 0.748 0.756
8 Au 0.387 0.387 0.840

For the energy relative to the elements, the calculation gives -0.37 eV/atom. As for the density of states at the Fermi level: 0.322 states/eV/atom. The total energy is -27.2 eV per cell.


Entry 10:
The following is a PBE-GGA calculation of an optimized crystal structure of TmZnCuAu, from Alexandria via LeMat-Bulk.

a b c (Å): 4.676 4.676 4.676
angles (deg): 60.00 60.00 60.00
Fractional positions:
1 Cu 0.500 0.500 0.500
2 Au 0.000 0.000 0.000
3 Zn 0.250 0.250 0.250
4 Tm 0.750 0.750 0.750

For the energy relative to the elements, the calculation gives -0.42 eV/atom. As for the density of states at the Fermi level: 0.679 states/eV/atom. The total energy is -14.8 eV per cell.


Entry 11:
The following is a PBE-GGA calculation of an optimized crystal structure of Tm4ZnCuAu2, from Alexandria via LeMat-Bulk.

a b c (Å): 4.979 4.979 8.615
angles (deg): 73.20 73.20 60.00
Fractional positions:
1 Au 0.253 0.253 0.242
2 Cu 0.500 0.500 0.500
3 Tm 0.873 0.873 0.381
4 Zn 0.000 0.000 0.000
5 Tm 0.377 0.377 0.868
6 Tm 0.623 0.623 0.132
7 Au 0.747 0.747 0.758
8 Tm 0.127 0.127 0.619

For the energy relative to the elements, the calculation gives -0.60 eV/atom. As for the density of states at the Fermi level: 0.788 states/eV/atom. The total energy is -34.6 eV per cell.


Entry 12:
The following is a PBE-GGA calculation of an optimized crystal structure of UCu5Au7, from Alexandria via LeMat-Bulk.

a b c (Å): 5.242 6.968 6.968
angles (deg): 81.64 67.90 67.90
Fractional positions:
1 Au 0.997 0.663 0.343
2 Cu 0.503 0.503 0.993
3 Cu 0.000 0.503 0.993
4 Au 0.275 0.225 0.225
5 Au 0.997 0.343 0.663
6 Au 0.507 0.195 0.792
7 Au 0.655 0.345 0.345
8 Au 0.329 0.671 0.671
9 Cu 0.731 0.769 0.769
10 Cu 0.503 0.993 0.503
11 Cu 0.000 0.993 0.503
12 U 0.996 0.004 0.004
13 Au 0.507 0.792 0.195

For the energy relative to the elements, the calculation gives -0.09 eV/atom. As for the density of states at the Fermi level: 0.865 states/eV/atom. The total energy is -55.8 eV per cell.


- The highest density of states at the Fermi level belongs to which entry?
  UCu5Au7


- What is the formula in the first record?
  Tm3Cu2Au4